GGA+U ScCoNO, relaxed; excess energy over the best structure of this formula in the dataset = 50 meV/atom
1.0
-3.036 3.911 -1.776
-2.299 -0.678 2.437
2.677 3.691 3.551
Co O Sc N
2 2 2 2
Direct
0.000 0.000 0.662
0.500 0.000 0.338
0.883 0.500 0.841
0.383 0.500 0.159
0.494 0.500 0.819
0.994 0.500 0.181
0.876 0.000 0.339
0.376 0.000 0.661